Entry 1:
Computed, not measured: a relaxed AsHPt3 crystal at the PBE level of DFT.

Results
Raw total energy   -0.302 Ry/atom
Energy relative to the lowest polymorph listed for this composition   956 meV per atom

Cell: 4.6885 4.6885 4.6885 Å, 90.00 90.00 90.00°
Space group Pm-3m (No. 221)
Inequivalent atoms, fractional coordinates:
As1 0.0000 0.0000 0.0000 x1
H1 0.5000 0.5000 0.5000 x1
Pt1 0.0000 0.0000 0.5000 x3



Entry 2:
Computed, not measured: a relaxed Tb6Nd2Tm3Sc crystal at the PBE level of DFT.

Results
Raw total energy   -0.348 Ry/atom
Formation enthalpy at 0 K   27 meV/atom

Cell: 6.1244 10.6046 11.7361 Å, 90.00 99.99 90.00°
Space group C2/m (No. 12)
Inequivalent atoms, fractional coordinates:
Tb1 0.2464 0.0000 0.2475 x4
Tb2 0.2489 0.1650 0.7522 x8
Nd1 0.0000 0.3335 0.5000 x4
Tm1 0.0000 0.1662 0.0000 x4
Tm2 0.0000 0.5000 0.0000 x2
Sc1 0.0000 0.0000 0.5000 x2



Entry 3:
Computed, not measured: a relaxed Pr2YSc crystal at the PBE level of DFT.

Results
Raw total energy   -0.407 Ry/atom
Energy relative to the lowest polymorph listed for this composition   8 meV per atom
Formation enthalpy at 0 K   47 meV/atom

Cell: 3.5873 3.5873 34.3029 Å, 90.00 90.00 120.00°
Space group R-3m (No. 166, hexagonal axes)
Inequivalent atoms, fractional coordinates:
Pr1 0.0000 0.0000 0.2465 x6
Y1 0.0000 0.0000 0.0000 x3
Sc1 0.0000 0.0000 0.5000 x3



Entry 4:
Computed, not measured: a relaxed Sr2NdHfAs4 crystal at the PBE level of DFT.

Results
Raw total energy   -0.421 Ry/atom
Formation enthalpy at 0 K   -1136 meV/atom

Cell: 7.2766 4.1787 7.5525 Å, 90.00 108.40 90.00°
Space group P2/m (No. 10)
Inequivalent atoms, fractional coordinates:
Sr1 0.0000 0.0000 0.0000 x1
Sr2 0.5000 0.5000 0.0000 x1
Nd1 0.0000 0.5000 0.5000 x1
Hf1 0.5000 0.0000 0.5000 x1
As1 0.2613 0.0000 0.7225 x2
As2 0.2801 0.5000 0.2864 x2